[1]
A relaxed AlZn12Ag6 crystal. Source: Alexandria, functional GGA-PBE.

extended XYZ file:
```
19
Lattice="4.7891 2.7650 3.8716 -4.7891 2.7650 3.8716 0.0000 -5.5300 3.8716" Properties=species:S:1:pos:R:3 pbc="T T T"
Al 0.0000 0.0000 0.0000
Zn -1.5260 0.3672 2.2506
Zn 0.4450 -1.5052 2.2506
Zn -1.6845 -0.4849 4.7893
Zn 1.0810 1.1380 2.2506
Zn -0.4223 -1.7012 6.8257
Zn 1.2621 -1.2164 4.7893
Zn -1.2621 1.2164 6.8257
Zn 0.4223 1.7012 4.7893
Zn -1.0810 -1.1380 9.3643
Zn 1.6845 0.4849 6.8257
Zn -0.4450 1.5052 9.3643
Zn 1.5260 -0.3672 9.3643
Ag -0.7802 -2.9509 4.3561
Ag -2.9456 -0.7998 7.2588
Ag -2.1654 2.1511 4.3561
Ag 2.1654 -2.1511 7.2588
Ag 2.9456 0.7998 4.3561
Ag 0.7802 2.9509 7.2588
```

## Properties
* mass density: 7.9 g cm⁻³
* space group: R-3
* ΔE to the lowest computed polymorph: 0 meV per atom

***

[2]
A relaxed TmMg3Cu crystal. Source: Alexandria, functional GGA-PBE.

extended XYZ file:
```
10
Lattice="4.1539 -6.0504 0.0000 4.1539 6.0504 0.0000 0.0000 0.0000 4.3019" Properties=species:S:1:pos:R:3 pbc="T T T"
Tm 4.1539 3.5560 0.0000
Tm 4.1539 -3.5560 0.0000
Mg 0.0000 0.0000 2.1510
Mg 2.5346 1.5788 2.1510
Mg 2.5346 -1.5788 2.1510
Mg 4.1539 0.0000 0.0000
Mg 5.7733 1.5788 2.1510
Mg 5.7733 -1.5788 2.1510
Cu 1.5404 0.0000 0.0000
Cu 6.7675 0.0000 0.0000
```

## Properties
* mass density: 4.7 g cm⁻³
* space group: Cmmm
* ΔE to the lowest computed polymorph: 0 meV per atom

***

[3]
A relaxed MgSi3Pb crystal. Source: Alexandria, functional GGA-PBE.

extended XYZ file:
```
5
Lattice="4.9591 0.0000 0.0000 0.0000 4.9591 0.0000 0.0000 0.0000 4.9591" Properties=species:S:1:pos:R:3 pbc="T T T"
Mg 0.0000 0.0000 0.0000
Si 0.0000 0.0000 2.4796
Si 0.0000 2.4796 0.0000
Si 2.4796 0.0000 0.0000
Pb 2.4796 2.4796 2.4796
```

## Properties
* mass density: 4.3 g cm⁻³
* uncorrected formation energy: 958 meV per atom
* space group: Pm-3m
* ΔE to the lowest computed polymorph: 0 meV per atom

***

Question: What is the formula in the third record?
Answer: MgSi3Pb